(1)
Entry from the Alexandria database: a relaxed structure of BaCaMn3 (PBE).

abc: 5.4144 5.4144 5.4144
angles: 90.00 90.00 90.00
Positions (direct):
Ba1 0.0000 0.0000 0.0000
Ca1 0.5000 0.5000 0.5000
Mn1 0.0000 0.5000 0.5000
Mn2 0.5000 0.0000 0.5000
Mn3 0.5000 0.5000 0.0000

Its symmetry is Pm-3m (221). As for the formation energy: 1196 meV/atom. The volume comes out at 31.74 A^3/atom. The calculation puts the raw total energy at -5.09 eV/atom. The energy relative to the lowest polymorph listed for this composition comes out at 0 kJ/mol of formula units.


(2)
Entry from the Alexandria database: a relaxed structure of AlPRh2 (PBE).

abc: 4.3250 4.3250 4.3250
angles: 60.00 60.00 60.00
Positions (direct):
Al1 0.0000 0.0000 0.0000
P1 0.2500 0.2500 0.2500
Rh1 0.5000 0.5000 0.5000
Rh2 0.7500 0.7500 0.7500

Its symmetry is F-43m (216). As for the formation energy: -122 meV/atom. The volume comes out at 14.30 A^3/atom. The calculation puts the raw total energy at -6.09 eV/atom. The energy relative to the lowest polymorph listed for this composition comes out at 211 kJ/mol of formula units.


(3)
Entry from the Alexandria database: a relaxed structure of PmY3Er2Bi6 (PBE).

abc: 7.7755 7.7755 7.7701
angles: 99.60 99.60 120.02
Positions (direct):
Pm1 0.0000 0.0000 0.0000
Y1 0.1641 0.8359 0.5000
Y2 0.5000 0.5000 0.5000
Y3 0.8359 0.1641 0.5000
Er1 0.3324 0.6676 0.0000
Er2 0.6676 0.3324 0.0000
Bi1 0.0840 0.4223 0.2511
Bi2 0.2562 0.2562 0.7516
Bi3 0.4223 0.0840 0.2511
Bi4 0.5777 0.9160 0.7489
Bi5 0.7438 0.7438 0.2484
Bi6 0.9160 0.5777 0.7489

Its symmetry is C2/m (12). As for the formation energy: -874 meV/atom. The volume comes out at 31.96 A^3/atom. The calculation puts the raw total energy at -5.59 eV/atom.


(4)
Entry from the Alexandria database: a relaxed structure of ScAl2Ru (PBE).

abc: 8.8155 8.8155 8.8155
angles: 19.92 19.92 19.92
Positions (direct):
Sc1 0.0000 0.0000 0.0000
Al1 0.2380 0.2380 0.2380
Al2 0.7620 0.7620 0.7620
Ru1 0.5000 0.5000 0.5000

Its symmetry is R-3m (166). As for the formation energy: -232 meV/atom. The volume comes out at 17.39 A^3/atom. The calculation puts the raw total energy at -6.01 eV/atom.


(5)
Entry from the Alexandria database: a relaxed structure of ZrReP2 (PBE).

abc: 6.2917 6.2917 6.2917
angles: 149.72 149.10 43.81
Positions (direct):
Zr1 0.0000 0.0000 0.0000
Re1 0.7484 0.2484 0.5000
P1 0.3255 0.8255 0.5000
P2 0.5912 0.5912 0.0000

Its symmetry is Imm2 (44). As for the formation energy: -731 meV/atom. The volume comes out at 16.08 A^3/atom. The calculation puts the raw total energy at -8.68 eV/atom. The energy relative to the lowest polymorph listed for this composition comes out at 0 kJ/mol of formula units.


(6)
Entry from the Alexandria database: a relaxed structure of CaTaH (PBE).

abc: 11.0244 3.2429 5.4967
angles: 90.00 90.00 90.00
Positions (direct):
Ca1 0.0051 0.2500 0.2486
Ca2 0.4949 0.7500 0.7486
Ca3 0.5051 0.2500 0.2514
Ca4 0.9949 0.7500 0.7514
Ta1 0.2478 0.2500 0.9052
Ta2 0.2522 0.7500 0.4052
Ta3 0.7478 0.2500 0.5948
Ta4 0.7522 0.7500 0.0948
H1 0.1786 0.2500 0.5675
H2 0.3214 0.7500 0.0675
H3 0.6786 0.2500 0.9325
H4 0.8214 0.7500 0.4325

Its symmetry is Pnma (62). The volume comes out at 16.38 A^3/atom. The calculation puts the raw total energy at -5.50 eV/atom. The energy relative to the lowest polymorph listed for this composition comes out at 93 kJ/mol of formula units.


(7)
Entry from the Alexandria database: a relaxed structure of ErZn4Ag (PBE).

abc: 8.4912 8.4912 6.5910
angles: 90.00 90.00 152.72
Positions (direct):
Er1 0.1109 0.8891 0.7500
Er2 0.8891 0.1109 0.2500
Zn1 0.0714 0.9286 0.2500
Zn2 0.3402 0.6598 0.5552
Zn3 0.3402 0.6598 0.9448
Zn4 0.5000 0.5000 0.0000
Zn5 0.5000 0.5000 0.5000
Zn6 0.6598 0.3402 0.0552
Zn7 0.6598 0.3402 0.4448
Zn8 0.9286 0.0714 0.7500
Ag1 0.2380 0.7620 0.2500
Ag2 0.7620 0.2380 0.7500

Its symmetry is Cmcm (63). As for the formation energy: -183 meV/atom. The volume comes out at 18.15 A^3/atom. The calculation puts the raw total energy at -2.27 eV/atom. The energy relative to the lowest polymorph listed for this composition comes out at 0 kJ/mol of formula units.


(8)
Entry from the Alexandria database: a relaxed structure of DyMgBeZn (PBE).

abc: 4.7035 4.7035 4.7035
angles: 60.00 60.00 60.00
Positions (direct):
Dy1 0.0000 0.0000 0.0000
Mg1 0.5000 0.5000 0.5000
Be1 0.7500 0.7500 0.7500
Zn1 0.2500 0.2500 0.2500

Its symmetry is F-43m (216). As for the formation energy: -102 meV/atom. The volume comes out at 18.39 A^3/atom. The calculation puts the raw total energy at -2.90 eV/atom.


(9)
Entry from the Alexandria database: a relaxed structure of NdGa9Pd2 (PBE).

abc: 8.7919 8.7919 8.7919
angles: 98.22 98.22 135.56
Positions (direct):
Nd1 0.3750 0.6250 0.7500
Nd2 0.6250 0.3750 0.2500
Ga1 0.1094 0.5507 0.3193
Ga2 0.1094 0.7902 0.5587
Ga3 0.1250 0.8750 0.2500
Ga4 0.2098 0.2686 0.3193
Ga5 0.2098 0.8906 0.9413
Ga6 0.2686 0.2098 0.8193
Ga7 0.2686 0.4493 0.0587
Ga8 0.4493 0.2686 0.5587
Ga9 0.4493 0.8906 0.1807
Ga10 0.5507 0.1094 0.8193
Ga11 0.5507 0.7314 0.4413
Ga12 0.7314 0.5507 0.9413
Ga13 0.7314 0.7902 0.1807
Ga14 0.7902 0.1094 0.0587
Ga15 0.7902 0.7314 0.6807
Ga16 0.8750 0.1250 0.7500
Ga17 0.8906 0.2098 0.4413
Ga18 0.8906 0.4493 0.6807
Pd1 0.0000 0.0000 0.0000
Pd2 0.0000 0.0000 0.5000
Pd3 0.0000 0.5000 0.0000
Pd4 0.5000 0.0000 0.5000

Its symmetry is I4_1/amd (141). As for the formation energy: -338 meV/atom. The volume comes out at 18.35 A^3/atom. The calculation puts the raw total energy at -3.87 eV/atom.


(10)
Entry from the Alexandria database: a relaxed structure of Ca2TcRu (PBE).

abc: 5.7190 5.7190 5.7190
angles: 140.31 127.16 68.07
Positions (direct):
Ca1 0.0000 0.0000 0.0000
Ca2 0.7177 0.2177 0.5000
Tc1 0.4226 0.4226 0.0000
Ru1 0.2857 0.7857 0.5000

Its symmetry is Imm2 (44). As for the formation energy: 309 meV/atom. The volume comes out at 23.42 A^3/atom. The calculation puts the raw total energy at -5.60 eV/atom. The energy relative to the lowest polymorph listed for this composition comes out at 36 kJ/mol of formula units.


(11)
Entry from the Alexandria database: a relaxed structure of Rb3Ga4Ag2 (PBE).

abc: 4.7267 7.0110 9.3671
angles: 94.87 104.59 109.33
Positions (direct):
Rb1 0.0000 0.0000 0.0000
Rb2 0.2539 0.8693 0.6396
Rb3 0.7461 0.1307 0.3604
Ga1 0.3355 0.5819 0.0805
Ga2 0.4834 0.5814 0.3792
Ga3 0.5166 0.4186 0.6208
Ga4 0.6645 0.4181 0.9195
Ag1 0.0790 0.3997 0.7665
Ag2 0.9210 0.6003 0.2335

Its symmetry is P-1 (2). As for the formation energy: -30 meV/atom. The volume comes out at 30.96 A^3/atom. The calculation puts the raw total energy at -2.33 eV/atom.


(12)
Entry from the Alexandria database: a relaxed structure of TlSbCI2 (PBE).

abc: 5.8197 5.8197 4.4494
angles: 90.00 90.00 90.00
Positions (direct):
Tl1 0.0000 0.0000 0.0000
Sb1 0.5000 0.5000 0.0000
C1 0.5000 0.5000 0.5000
I1 0.0000 0.5000 0.5000
I2 0.5000 0.0000 0.5000

Its symmetry is P4/mmm (123). The volume comes out at 30.14 A^3/atom. The calculation puts the raw total energy at -2.96 eV/atom. The energy relative to the lowest polymorph listed for this composition comes out at 0 kJ/mol of formula units.


(13)
Entry from the Alexandria database: a relaxed structure of KCu3Pd (PBE).

abc: 4.8486 4.8486 4.8486
angles: 90.00 90.00 90.00
Positions (direct):
K1 0.0000 0.0000 0.0000
Cu1 0.0000 0.5000 0.5000
Cu2 0.5000 0.0000 0.5000
Cu3 0.5000 0.5000 0.0000
Pd1 0.5000 0.5000 0.5000

Its symmetry is Pm-3m (221). As for the formation energy: 479 meV/atom. The volume comes out at 22.80 A^3/atom. The calculation puts the raw total energy at -3.24 eV/atom. The energy relative to the lowest polymorph listed for this composition comes out at 0 kJ/mol of formula units.


(14)
Entry from the Alexandria database: a relaxed structure of PmDyPd2 (PBE).

abc: 5.0322 5.0322 5.0322
angles: 60.00 60.00 60.00
Positions (direct):
Pm1 0.0000 0.0000 0.0000
Dy1 0.5000 0.5000 0.5000
Pd1 0.2500 0.2500 0.2500
Pd2 0.7500 0.7500 0.7500

Its symmetry is Fm-3m (225). As for the formation energy: -818 meV/atom. The volume comes out at 22.53 A^3/atom. The calculation puts the raw total energy at -5.75 eV/atom. The energy relative to the lowest polymorph listed for this composition comes out at 21 kJ/mol of formula units.


(15)
Entry from the Alexandria database: a relaxed structure of Pr2LuIn (PBE).

abc: 5.5689 5.5689 5.5689
angles: 60.00 60.00 60.00
Positions (direct):
Pr1 0.2500 0.2500 0.2500
Pr2 0.7500 0.7500 0.7500
Lu1 0.0000 0.0000 0.0000
In1 0.5000 0.5000 0.5000

Its symmetry is Fm-3m (225). As for the formation energy: -165 meV/atom. The volume comes out at 30.53 A^3/atom. The calculation puts the raw total energy at -4.37 eV/atom. The energy relative to the lowest polymorph listed for this composition comes out at 37 kJ/mol of formula units.


(16)
Entry from the Alexandria database: a relaxed structure of SmDyGeRu (PBE).

abc: 4.9834 4.9834 4.9834
angles: 60.00 60.00 60.00
Positions (direct):
Sm1 0.0000 0.0000 0.0000
Dy1 0.5000 0.5000 0.5000
Ge1 0.7500 0.7500 0.7500
Ru1 0.2500 0.2500 0.2500

Its symmetry is F-43m (216). As for the formation energy: -425 meV/atom. The volume comes out at 21.88 A^3/atom. The calculation puts the raw total energy at -6.23 eV/atom. The energy relative to the lowest polymorph listed for this composition comes out at 67 kJ/mol of formula units.


(17)
Entry from the Alexandria database: a relaxed structure of Sc2V2C3 (PBE).

abc: 5.6213 5.6213 5.3596
angles: 107.65 107.65 32.71
Positions (direct):
Sc1 0.1118 0.1118 0.3421
Sc2 0.8882 0.8882 0.6579
V1 0.3486 0.3486 0.1658
V2 0.6514 0.6514 0.8342
C1 0.2511 0.2511 0.7693
C2 0.5000 0.5000 0.5000
C3 0.7489 0.7489 0.2307

Its symmetry is C2/m (12). As for the formation energy: -534 meV/atom. The volume comes out at 12.41 A^3/atom. The calculation puts the raw total energy at -8.90 eV/atom.


(18)
Entry from the Alexandria database: a relaxed structure of Mg2AlSnC (PBE).

abc: 4.6295 4.6295 3.9571
angles: 90.00 90.00 90.00
Positions (direct):
Mg1 0.0000 0.5000 0.0000
Mg2 0.5000 0.0000 0.0000
Al1 0.0000 0.0000 0.5000
Sn1 0.5000 0.5000 0.5000
C1 0.0000 0.0000 0.0000

Its symmetry is P4/mmm (123). As for the formation energy: 90 meV/atom. The volume comes out at 16.96 A^3/atom. The calculation puts the raw total energy at -3.94 eV/atom.


(19)
Entry from the Alexandria database: a relaxed structure of NiAuSe4 (PBE).

abc: 5.6216 5.6216 5.6216
angles: 60.00 60.00 60.00
Positions (direct):
Ni1 0.0000 0.0000 0.0000
Au1 0.2500 0.2500 0.2500
Se1 0.1247 0.6251 0.6251
Se2 0.6251 0.1247 0.6251
Se3 0.6251 0.6251 0.1247
Se4 0.6251 0.6251 0.6251

Its symmetry is F-43m (216). The volume comes out at 20.94 A^3/atom. The calculation puts the raw total energy at -2.93 eV/atom.


(20)
Entry from the Alexandria database: a relaxed structure of Ba2CaAgHg6 (PBE).

abc: 7.9832 7.9832 7.9832
angles: 60.00 60.00 60.00
Positions (direct):
Ba1 0.2500 0.2500 0.2500
Ba2 0.7500 0.7500 0.7500
Ca1 0.0000 0.0000 0.0000
Ag1 0.5000 0.5000 0.5000
Hg1 0.2579 0.2579 0.7421
Hg2 0.2579 0.7421 0.2579
Hg3 0.2579 0.7421 0.7421
Hg4 0.7421 0.2579 0.2579
Hg5 0.7421 0.2579 0.7421
Hg6 0.7421 0.7421 0.2579

Its symmetry is Fm-3m (225). As for the formation energy: -213 meV/atom. The volume comes out at 35.98 A^3/atom. The calculation puts the raw total energy at -1.26 eV/atom.


Number 1: Fermi-level density of states 0.90 states/eV per atom. Number 2: Fermi-level density of states 0.59 states/eV per atom. Number 3: Fermi-level density of states 0.19 states/eV per atom. Number 4: Fermi-level density of states 1.09 states/eV per atom. Number 5: Fermi-level density of states 0.33 states/eV per atom. Number 6: Fermi-level density of states 0.35 states/eV per atom. Number 7: Fermi-level density of states 0.55 states/eV per atom. Number 8: Fermi-level density of states 0.51 states/eV per atom. Number 9: Fermi-level density of states 0.36 states/eV per atom. Number 10: Fermi-level density of states 0.89 states/eV per atom. Number 11: Fermi-level density of states 0.28 states/eV per atom. Number 12: Fermi-level density of states 0.26 states/eV per atom. Number 13: Fermi-level density of states 0.45 states/eV per atom. Number 14: Fermi-level density of states 0.96 states/eV per atom. Number 15: Fermi-level density of states 1.74 states/eV per atom. Number 16: Fermi-level density of states 0.63 states/eV per atom. Number 17: Fermi-level density of states 0.60 states/eV per atom. Number 18: Fermi-level density of states 0.32 states/eV per atom. Number 19: Fermi-level density of states 1.71 states/eV per atom. Number 20: Fermi-level density of states 0.77 states/eV per atom.